The following is a PBE-GGA calculation of an optimized crystal structure of ZrCrHg2, from the Alexandria database.

Values from the calculation:
For the energy of formation from the pure elements, the calculation gives 0.14 eV per atom. The size of the total moment is 4.0 μB/f.u. Its total energy is -4.5517 eV per atom. The density of states at the Fermi level is 2.77 states/eV/cell. The value obtained for the density is 11.2 g/cm³. As for the excess energy over the best structure of this formula in the dataset: 0.000 eV/atom.

```
ZrCrHg2
1.0
-2.707 1.063 3.890
-1.944 4.426 0.470
-4.796 0.608 -0.471
Zr Hg Cr
1 2 1
Direct
0.500 0.500 0.500
0.250 0.250 0.250
0.750 0.750 0.750
0.000 0.000 0.000
```

=====

The following is a PBE-GGA calculation of an optimized crystal structure of ZrCr2Hg, from the Alexandria database.

Values from the calculation:
For the energy of formation from the pure elements, the calculation gives 0.39 eV per atom. The size of the total moment is 0.7 μB/f.u. Its total energy is -6.6302 eV per atom. The density of states at the Fermi level is 3.89 states/eV/cell. The value obtained for the density is 9.3 g/cm³. As for the excess energy over the best structure of this formula in the dataset: 0.266 eV/atom.

```
ZrCr2Hg
1.0
-7.021 -0.022 5.684
-4.789 -0.652 7.631
-5.392 2.223 6.897
Cr Hg Zr
2 1 1
Direct
0.988 0.988 0.988
0.263 0.263 0.263
0.508 0.508 0.508
0.741 0.741 0.741
```